Density functional theory data (PBE) for a relaxed structure of Ir6PtRh12.

abc: 6.5793 6.5793 6.5793
angles: 89.84 89.84 89.84
Fractional positions:
Ir 0.2137 0.7617 0.6119
Ir 0.2383 0.3881 0.7863
Ir 0.3881 0.7863 0.2383
Ir 0.6119 0.2137 0.7617
Ir 0.7617 0.6119 0.2137
Ir 0.7863 0.2383 0.3881
Pt 0.5000 0.5000 0.5000
Rh 0.0171 0.9315 0.3017
Rh 0.0685 0.6983 0.9829
Rh 0.1246 0.4634 0.3378
Rh 0.3017 0.0171 0.9315
Rh 0.3378 0.1246 0.4634
Rh 0.4634 0.3378 0.1246
Rh 0.5366 0.6622 0.8754
Rh 0.6622 0.8754 0.5366
Rh 0.6983 0.9829 0.0685
Rh 0.8754 0.5366 0.6622
Rh 0.9315 0.3017 0.0171
Rh 0.9829 0.0685 0.6983

Summary:
- N(E_F) (states/eV/atom) = 1.5913
- energy of formation (eV per atom) = 0.2051
- crystal system = trigonal
- M_tot (μB/atom) = 0.000
- density (g cm⁻³) = 15.06

---

Density functional theory data (PBE) for a relaxed structure of Ir2PtRh.

abc: 5.7428 5.7428 5.7428
angles: 39.73 39.73 39.73
Fractional positions:
Ir 0.0000 0.0000 0.0000
Ir 0.1603 0.1603 0.1603
Pt 0.5838 0.5838 0.5838
Rh 0.7538 0.7538 0.7538

Summary:
- distance to the lowest polymorph of the same formula (eV per atom) = 0.6573
- N(E_F) (states/eV/atom) = 1.3739
- energy of formation (eV per atom) = 0.6483
- crystal system = trigonal
- M_tot (μB/atom) = 0.000
- density (g cm⁻³) = 16.26

---

Density functional theory data (PBE) for a relaxed structure of IrPtRh2.

abc: 2.7417 3.8617 5.5205
angles: 90.00 90.00 90.00
Fractional positions:
Ir 0.0000 0.0000 0.0000
Pt 0.0000 0.0000 0.5000
Rh 0.5000 0.5000 0.2427
Rh 0.5000 0.5000 0.7573

Summary:
- distance to the lowest polymorph of the same formula (eV per atom) = 0.0225
- N(E_F) (states/eV/atom) = 1.3150
- energy of formation (eV per atom) = -0.0199
- crystal system = orthorhombic
- M_tot (μB/atom) = 0.000
- density (g cm⁻³) = 16.85

---

Density functional theory data (PBE) for a relaxed structure of IrPt2Rh.

abc: 2.7770 3.8763 5.5706
angles: 90.00 90.00 90.00
Fractional positions:
Ir 0.0000 0.0000 0.0000
Pt 0.5000 0.5000 0.2485
Pt 0.5000 0.5000 0.7515
Rh 0.0000 0.0000 0.5000

Summary:
- distance to the lowest polymorph of the same formula (eV per atom) = 0.0592
- N(E_F) (states/eV/atom) = 1.4789
- energy of formation (eV per atom) = 0.0363
- crystal system = orthorhombic
- M_tot (μB/atom) = 0.000
- density (g cm⁻³) = 18.98

---

Density functional theory data (PBE) for a relaxed structure of IrPtRh2.

abc: 2.7460 2.7460 7.7617
angles: 90.00 90.00 90.00
Fractional positions:
Ir 0.0000 0.0000 0.0000
Pt 0.5000 0.5000 0.2567
Rh 0.0000 0.0000 0.5141
Rh 0.5000 0.5000 0.7601

Summary:
- distance to the lowest polymorph of the same formula (eV per atom) = 0.0543
- N(E_F) (states/eV/atom) = 1.5109
- energy of formation (eV per atom) = 0.0118
- crystal system = tetragonal
- M_tot (μB/atom) = 0.000
- density (g cm⁻³) = 16.83

---

Density functional theory data (PBE) for a relaxed structure of Ir2Pt7Rh2.

abc: 7.2415 7.2415 7.2415
angles: 148.67 73.14 115.84
Fractional positions:
Ir 0.1653 0.0000 0.1653
Ir 0.8347 0.0000 0.8347
Pt 0.0792 0.7405 0.3387
Pt 0.2302 0.2302 0.0000
Pt 0.3384 0.5019 0.8365
Pt 0.4018 0.7405 0.6613
Pt 0.6037 0.2632 0.3405
Pt 0.6654 0.5019 0.1635
Pt 0.9226 0.2632 0.6595
Rh 0.5061 0.0061 0.5000
Rh 0.7717 0.7717 0.0000

Summary:
- N(E_F) (states/eV/atom) = 1.5483
- energy of formation (eV per atom) = 0.0994
- crystal system = orthorhombic
- M_tot (μB/atom) = 0.001
- density (g cm⁻³) = 18.56